! ZrAl2Pd PBE-GGA optimized geometry; values from VASP
&SYSTEM
  ibrav = 0, nat = 4, ntyp = 3
/
ATOMIC_SPECIES
Al 26.98 Al.upf
Zr 91.22 Zr.upf
Pd 106.42 Pd.upf
CELL_PARAMETERS angstrom
-0.608 1.814 -2.399
-2.851 -1.127 -0.130
-2.234 5.141 4.452
ATOMIC_POSITIONS crystal
Al 0.000 0.000 0.214
Al 0.000 0.000 0.786
Zr 0.500 0.500 0.500
Pd 0.500 0.500 0.000
! Energy relative to the elements (kcal/mol of atoms): -16.211
! Total DFT energy (no corrections) (eV per atom): -6.0095
! Symmetry: P4/mmm (123)
! Total moment (μB per cell): 0.00